[1]
The following is a DFT calculation (PBE) of a relaxed Zr2AlC crystal.

a = 6.728 Å, b = 6.728 Å, c = 5.726 Å
α = 54.02°, β = 54.02°, γ = 90.00°
Element x y z (fractional)
Zr 0.194 0.625 0.250
Zr 0.375 0.444 0.750
Zr 0.556 0.125 0.250
C 0.500 0.500 0.000
Al 0.000 0.000 0.000
Al 0.750 0.250 0.500
Zr 0.875 0.806 0.750
C 0.250 0.750 0.500

- M_tot (μB/atom) = 0.000
- calculated formation energy (eV/f.u.) = -0.2
- energy above the lowest structure with this stoichiometry (meV per atom) = 591
- total energy (eV per cell) = -60.56

***

[2]
The following is a DFT calculation (PBE) of a relaxed LiNb2Cl8 crystal.

a = 6.691 Å, b = 7.257 Å, c = 7.257 Å
α = 54.52°, β = 88.84°, γ = 88.84°
Element x y z (fractional)
Cl 0.658 0.623 0.115
Cl 0.342 0.377 0.885
Cl 0.658 0.115 0.623
Cl 0.342 0.885 0.377
Cl 0.787 0.639 0.639
Cl 0.196 0.851 0.851
Nb 0.505 0.748 0.748
Nb 0.495 0.252 0.252
Li 0.000 0.000 0.000
Cl 0.804 0.149 0.149
Cl 0.213 0.361 0.361

- M_tot (μB/atom) = 0.094
- uncorrected formation energy (eV per atom) = -1.25
- total energy (eV per cell) = -50.55